# Ce2Fe2Se2O3 GGA+U optimized geometry
data_Ce2Fe2Se2O3
_chemical_formula_sum 'Ce4 Fe4 Se4 O6'
_cell_length_a 4.075
_cell_length_b 4.075
_cell_length_c 18.711
_cell_angle_alpha 90.00
_cell_angle_beta 90.00
_cell_angle_gamma 90.00
_space_group_name_H-M_alt 'I 4/m m m'
_space_group_IT_number 139
_space_group_name_Hall '-I 4 2'
loop_
_atom_site_label
_atom_site_type_symbol
_atom_site_fract_x
_atom_site_fract_y
_atom_site_fract_z
_atom_site_occupancy
Ce1 Ce 0.000 0.000 0.186 1
Fe1 Fe 0.000 0.500 0.000 1
Se1 Se 0.000 0.000 0.399 1
O1 O 0.000 0.000 0.000 1
O2 O 0.000 0.500 0.250 1
# Density of states at the Fermi level: 1.573 states/eV per atom
# Raw total energy: -126.57 eV per cell
# Crystal system: tetragonal